Entry from the Alexandria database: a PBEsol-optimized structure of Mg2ZrAg (SCAN).

Output
- SG: P4/mmm (123)
- Theoretical density: 5.2 g/cm3
- ΔE_f: -108 meV/atom
- Calculated total energy: -18.1114 eV/atom

abc: 3.0573 3.0573 8.4315
angles: 90.00 90.00 90.00
With the nearest neighbours (Å) after each atom.
Positions (direct):
Mg (0.0000, 0.0000, 0.2239)  4 Ag 2.87, 4 Mg 3.06, 4 Zr 3.18
Mg (0.0000, 0.0000, 0.7761)  4 Ag 2.87, 4 Mg 3.06, 4 Zr 3.18
Zr (0.5000, 0.5000, 0.5000)  4 Zr 3.06, 8 Mg 3.18
Ag (0.5000, 0.5000, 0.0000)  8 Mg 2.87, 4 Ag 3.06